# 1
InSiMo2 PBE relaxed; SG = Cmmm; spin magnetization = 0.000 μB per cell; total DFT energy (no corrections) = -7.2774 eV/atom; energy relative to the elements, uncorrected = 0.71 eV per formula unit
1.0
3.345 0.000 0.000
0.000 4.741 0.000
0.000 0.000 8.375
In Si Mo
2 2 4
direct
0.000 0.000 0.000 In
0.500 0.500 0.000 In
0.000 0.000 0.500 Si
0.500 0.500 0.500 Si
0.000 0.500 0.282 Mo
0.000 0.500 0.718 Mo
0.500 0.000 0.282 Mo
0.500 0.000 0.718 Mo

***

# 2
Cd2SbMo PBE relaxed; SG = C2/m; spin magnetization = 0.000 μB per cell; total DFT energy (no corrections) = -3.7238 eV/atom; energy relative to the elements, uncorrected = 1.89 eV per formula unit
1.0
5.561 0.000 0.000
0.000 10.213 0.000
-0.986 0.000 2.917
Cd Sb Mo
4 2 2
direct
0.250 0.250 0.000 Cd
0.250 0.750 0.000 Cd
0.750 0.250 0.000 Cd
0.750 0.750 0.000 Cd
0.000 0.000 0.500 Sb
0.500 0.500 0.500 Sb
0.000 0.500 0.500 Mo
0.500 0.000 0.500 Mo

***

- The highest total DFT energy (no corrections) belongs to which entry?
  Cd2SbMo

***

- Which value of spin magnetization does entry 1 give?
  0.000 μB per cell